Record 1
A relaxed structure of LiY3Pt4. Source: the Alexandria database, functional GGA-PBE.

Cell and atoms, written as POSCAR:
```
LiY3Pt4
1.0
3.449 -3.447 0.000
3.449 3.447 0.000
-3.424 0.000 6.725
Li Y Pt
1 3 4
Cartesian
0.000 0.000 0.000
0.014 0.000 3.242
3.449 0.000 0.000
3.459 0.000 3.483
1.732 1.729 1.645
1.741 1.729 5.080
1.732 -1.729 1.645
1.741 -1.729 5.080
```

The formation energy is -1.057 eV/atom. As for the final energy: -53.92 eV for the cell shown. As for the space group: No. 12.


Record 2
A relaxed structure of LiYPt. Source: the Alexandria database, functional GGA-PBE.

Cell and atoms, written as POSCAR:
```
LiYPt
1.0
4.299 0.000 0.000
-2.150 3.723 0.000
0.000 0.000 3.683
Li Y Pt
1 1 1
Cartesian
0.000 0.000 0.000
0.000 2.482 1.842
2.150 1.241 0.000
```

The formation energy is -0.746 eV/atom. As for the final energy: -16.66 eV for the cell shown. The energy above the most stable polymorph in this dataset comes out at 0.38 eV per formula unit. As for the space group: No. 187.


Record 3
A relaxed structure of LiYPt. Source: the Alexandria database, functional GGA-PBE.

Cell and atoms, written as POSCAR:
```
LiYPt
1.0
-1.819 1.819 4.477
1.819 -1.819 4.477
1.819 1.819 -4.477
Li Y Pt
1 1 1
Cartesian
0.000 0.000 0.000
0.000 0.000 2.739
0.000 0.000 5.836
```

The formation energy is -0.712 eV/atom. As for the final energy: -16.55 eV for the cell shown. The energy above the most stable polymorph in this dataset comes out at 0.48 eV per formula unit. As for the space group: No. 107.


Record 4
A relaxed structure of LiY2Pt. Source: the Alexandria database, functional GGA-PBE.

Cell and atoms, written as POSCAR:
```
LiY2Pt
1.0
-3.992 3.992 3.227
3.992 -3.992 3.227
3.992 3.992 -3.227
Li Y Pt
2 4 2
Cartesian
0.000 0.000 0.000
0.000 3.992 1.613
1.996 2.291 -0.807
5.694 1.996 0.807
1.996 1.701 2.420
-1.701 1.996 4.034
3.992 0.000 1.613
0.000 0.000 3.227
```

The formation energy is -0.287 eV/atom. As for the final energy: -44.07 eV for the cell shown. The energy above the most stable polymorph in this dataset comes out at 1.51 eV per formula unit. As for the space group: No. 122.


Record 5
A relaxed structure of LiY2Pt4. Source: the Alexandria database, functional GGA-PBE.

Cell and atoms, written as POSCAR:
```
LiY2Pt4
1.0
-3.028 3.028 3.976
3.028 -3.028 3.976
3.028 3.028 -3.976
Li Y Pt
1 2 4
Cartesian
0.000 0.000 0.000
3.028 0.000 1.988
0.000 3.028 1.988
1.679 1.679 0.000
1.349 -1.349 3.976
-1.349 1.349 3.976
1.349 1.349 3.976
```

The formation energy is -0.790 eV/atom. As for the final energy: -44.53 eV for the cell shown. As for the space group: No. 139.


Record 6
A relaxed structure of LiY2Pt. Source: the Alexandria database, functional GGA-PBE.

Cell and atoms, written as POSCAR:
```
LiY2Pt
1.0
3.451 -3.457 0.000
3.451 3.457 0.000
0.000 0.000 3.692
Li Y Pt
1 2 1
Cartesian
0.000 0.000 0.000
1.726 1.729 1.846
1.726 -1.729 1.846
3.451 0.000 0.000
```

The formation energy is -0.631 eV/atom. As for the final energy: -23.41 eV for the cell shown. The energy above the most stable polymorph in this dataset comes out at 0.14 eV per formula unit. As for the space group: No. 65.


Record 7
A relaxed structure of LiY4Pt. Source: the Alexandria database, functional GGA-PBE.

Cell and atoms, written as POSCAR:
```
LiY4Pt
1.0
-5.045 5.045 3.706
5.045 -5.045 3.706
5.045 5.045 -3.706
Li Y Pt
2 8 2
Cartesian
0.000 0.000 0.000
0.000 5.045 1.853
5.045 -2.656 2.371
3.112 0.000 0.546
6.978 0.000 0.546
5.045 3.112 -1.307
0.000 1.933 2.400
2.389 5.045 0.518
2.656 0.000 4.224
5.045 2.656 2.371
5.045 0.000 2.665
0.000 0.000 4.519
```

The formation energy is -0.125 eV/atom. As for the final energy: -69.13 eV for the cell shown. The energy above the most stable polymorph in this dataset comes out at 0.00 eV per formula unit. As for the space group: No. 109.


Record 8
A relaxed structure of LiYPt. Source: the Alexandria database, functional GGA-PBE.

Cell and atoms, written as POSCAR:
```
LiYPt
1.0
4.636 0.000 0.000
0.000 3.513 0.000
0.000 0.000 8.359
Li Y Pt
2 2 2
Cartesian
1.159 0.000 0.732
3.477 0.000 7.627
1.159 1.756 5.633
3.477 1.756 2.727
1.159 0.000 3.261
3.477 0.000 5.098
```

The formation energy is -0.727 eV/atom. As for the final energy: -33.20 eV for the cell shown. The energy above the most stable polymorph in this dataset comes out at 0.43 eV per formula unit. As for the space group: No. 51.